No. 1
A plane-wave DFT calculation with GGA-PBE was carried out for an optimized crystal structure of ZnGa6Cl12.

Geometry as POSCAR:
```
ZnGa6Cl12
1.0
9.0164 -0.4911 -2.9901
-3.9964 8.0972 -2.9901
-0.3241 -0.4911 9.4937
Ga Cl Zn
6 12 1
Direct
0.7600 0.0340 0.8448
0.0340 0.8448 0.7600
0.9660 0.1552 0.2400
0.8448 0.7600 0.0340
0.1552 0.2400 0.9660
0.2400 0.9660 0.1552
0.1428 0.3754 0.5042
0.2524 0.7968 0.9117
0.6246 0.4958 0.8572
0.2032 0.0883 0.7476
0.3754 0.5042 0.1428
0.0883 0.7476 0.2032
0.8572 0.6246 0.4958
0.4958 0.8572 0.6246
0.7476 0.2032 0.0883
0.7968 0.9117 0.2524
0.5042 0.1428 0.3754
0.9117 0.2524 0.7968
0.0000 0.0000 0.0000
```

Raw formation energy (eV/atom): -0.852
SG: R-3

No. 2
A plane-wave DFT calculation with GGA-PBE was carried out for an optimized crystal structure of BaSr2Cu.

Geometry as POSCAR:
```
BaSr2Cu
1.0
-4.4105 -8.1112 4.5381
5.3951 1.8560 8.5608
-2.0561 -1.0905 7.7138
Sr Ba Cu
4 2 2
Direct
0.5209 0.1250 0.2500
0.3750 0.4791 0.7500
0.8750 0.7709 0.7500
0.2291 0.6250 0.2500
0.7500 0.2500 0.5000
0.0000 0.0000 0.0000
0.5000 0.5000 0.0000
0.2500 0.7500 0.5000
```

ΔE_f (eV/atom): 0.1316
Polymorph energy (0 for the lowest one) (meV/atom): 134
SG: I-42d

Q: Which total magnetization values were calculated for the entries above? A: 0.00; 0.00, in μB per atom.